Record 1
DFT (PBE) results for crystalline Sc3CdHg4 at its relaxed geometry.

Calculated values
- DFT total energy (eV/atom) = -2.989
- formation enthalpy at 0 K (kJ/mol of formula units) = -269
- M_tot (μB/atom) = 0.038

Lattice parameters (Å, degrees): 4.923 4.923 7.179 90.00 90.00 90.00
Space group P4/mmm (No. 123)
One atom of each set of equivalent atoms:
1 Sc 0.000 0.000 0.000 (multiplicity 1)
2 Sc 0.000 0.000 0.500 (multiplicity 1)
3 Sc 0.500 0.500 0.000 (multiplicity 1)
4 Cd 0.500 0.500 0.500 (multiplicity 1)
5 Hg 0.000 0.500 0.248 (multiplicity 4)

Record 2
DFT (PBE) results for crystalline TbNd7Y12 at its relaxed geometry.

Calculated values
- DFT total energy (eV/atom) = -5.548
- formation enthalpy at 0 K (kJ/mol of formula units) = 445
- M_tot (μB/atom) = 0.000

Lattice parameters (Å, degrees): 12.0791 12.0791 16.3894 90.00 90.00 120.00
Space group R-3 (No. 148, hexagonal axes)
One atom of each set of equivalent atoms:
1 Tb 0.0000 0.0000 0.0000 (multiplicity 3)
2 Nd 0.0000 0.0000 0.5000 (multiplicity 3)
3 Nd 0.0558 0.1873 0.7900 (multiplicity 18)
4 Y 0.0262 0.4490 0.7211 (multiplicity 18)
5 Y 0.0536 0.5858 0.0831 (multiplicity 18)

Record 3
DFT (PBE) results for crystalline CuAg5Cl6 at its relaxed geometry.

Calculated values
- DFT total energy (eV/atom) = -2.863
- formation energy from raw total energies (eV per atom) = -0.410
- M_tot (μB/atom) = 0.000

Lattice parameters (Å, degrees): 7.264 12.207 6.397 90.00 98.55 90.00
Space group C2/m (No. 12)
One atom of each set of equivalent atoms:
1 Cu 0.000 0.000 0.000 (multiplicity 2)
2 Ag 0.000 0.169 0.500 (multiplicity 4)
3 Ag 0.000 0.226 0.000 (multiplicity 4)
4 Ag 0.000 0.500 0.500 (multiplicity 2)
5 Cl 0.164 0.000 0.747 (multiplicity 4)
6 Cl 0.181 0.336 0.736 (multiplicity 8)

Record 4
DFT (PBE) results for crystalline RbCeAu at its relaxed geometry.

Calculated values
- DFT total energy (eV/atom) = -3.444
- formation enthalpy at 0 K (kJ/mol of formula units) = -15
- M_tot (μB/atom) = 0.543

Lattice parameters (Å, degrees): 12.351 3.961 10.007 90.00 117.42 90.00
Space group C2/m (No. 12)
One atom of each set of equivalent atoms:
1 Rb 0.087 0.000 0.391 (multiplicity 4)
2 Ce 0.126 0.500 0.024 (multiplicity 4)
3 Au 0.193 0.500 0.767 (multiplicity 4)

Record 5
DFT (PBE) results for crystalline PrRhSe at its relaxed geometry.

Calculated values
- DFT total energy (eV/atom) = -6.178
- formation energy from raw total energies (eV per atom) = -0.973
- M_tot (μB/atom) = 0.000

Lattice parameters (Å, degrees): 6.271 7.020 7.333 106.29 90.16 113.23
Space group P1 (No. 1)
One atom of each set of equivalent atoms:
1 Pr 0.000 0.000 0.000 (multiplicity 1)
2 Pr 0.205 0.539 0.545 (multiplicity 1)
3 Pr 0.476 0.159 0.592 (multiplicity 1)
4 Pr 0.695 0.434 0.185 (multiplicity 1)
5 Rh 0.144 0.790 0.311 (multiplicity 1)
6 Rh 0.517 0.605 0.868 (multiplicity 1)
7 Rh 0.627 0.009 0.243 (multiplicity 1)
8 Rh 0.809 0.711 0.582 (multiplicity 1)
9 Se 0.259 0.495 0.118 (multiplicity 1)
10 Se 0.468 0.965 0.906 (multiplicity 1)
11 Se 0.875 0.532 0.828 (multiplicity 1)
12 Se 0.947 0.031 0.456 (multiplicity 1)

Record 6
DFT (PBE) results for crystalline CsAlPb at its relaxed geometry.

Calculated values
- DFT total energy (eV/atom) = -2.824
- formation enthalpy at 0 K (kJ/mol of formula units) = -16
- M_tot (μB/atom) = 0.000

Lattice parameters (Å, degrees): 4.822 4.822 9.639 90.00 90.00 90.00
Space group P4/nmm (No. 129, origin choice 2)
One atom of each set of equivalent atoms:
1 Cs 0.250 0.250 0.162 (multiplicity 2)
2 Al 0.250 0.750 0.500 (multiplicity 2)
3 Pb 0.250 0.250 0.679 (multiplicity 2)

Record 7
DFT (PBE) results for crystalline CoAs2Br at its relaxed geometry.

Calculated values
- DFT total energy (eV/atom) = -3.829
- formation energy from raw total energies (eV per atom) = 0.690
- M_tot (μB/atom) = 0.448

Lattice parameters (Å, degrees): 6.626 6.626 6.626 90.00 90.00 90.00
Space group F-43m (No. 216)
One atom of each set of equivalent atoms:
1 Co 0.000 0.000 0.000 (multiplicity 4)
2 As 0.000 0.000 0.500 (multiplicity 4)
3 As 0.250 0.250 0.750 (multiplicity 4)
4 Br 0.250 0.250 0.250 (multiplicity 4)

Record 8
DFT (PBE) results for crystalline MnRh2W at its relaxed geometry.

Calculated values
- DFT total energy (eV/atom) = -9.307
- formation enthalpy at 0 K (kJ/mol of formula units) = -39
- M_tot (μB/atom) = 0.661

Lattice parameters (Å, degrees): 5.469 7.557 2.778 90.00 90.00 90.00
Space group Cmmm (No. 65)
One atom of each set of equivalent atoms:
1 Mn 0.000 0.000 0.000 (multiplicity 2)
2 Rh 0.250 0.250 0.500 (multiplicity 4)
3 W 0.000 0.500 0.000 (multiplicity 2)